# 1
Entry from Alexandria via LeMat-Bulk: crystalline Zr3HgMo at its relaxed geometry (GGA-PBE).

Cell: 5.0480 5.0480 5.0480 Å, 90.00 90.00 90.00°
Closest atoms and distances in Å follow each position.
Element x y z (fractional)
Hg (0.5000, 0.5000, 0.5000)  12 Zr 3.57
Mo (0.0000, 0.0000, 0.0000)  6 Zr 2.52
Zr (0.5000, 0.0000, 0.0000)  2 Mo 2.52
Zr (0.0000, 0.0000, 0.5000)  2 Mo 2.52
Zr (0.0000, 0.5000, 0.0000)  2 Mo 2.52

## Properties
total magnetization = 0.00 μB/cell
E above lowest polymorph = 0.0 meV per atom
energy of formation from the pure elements = 0.646 eV/atom
crystal system = cubic
calculated total energy = -6.709 eV/atom
SG = Pm-3m
density = 7361 kg/m³

# 2
Entry from Alexandria via LeMat-Bulk: crystalline Zr2HgMo at its relaxed geometry (GGA-PBE).

Cell: 2.9236 2.9236 9.4937 Å, 90.00 90.00 90.00°
Closest atoms and distances in Å follow each position.
Element x y z (fractional)
Hg (0.0000, 0.0000, 0.5110)  4 Hg 2.92, 4 Mo 3.02, 4 Zr 3.17
Zr (0.5000, 0.5000, 0.2572)  4 Zr 2.92, 4 Hg 3.17
Zr (0.0000, 0.0000, 0.9895)  4 Zr 2.92, 4 Mo 3.13
Mo (0.5000, 0.5000, 0.7423)  4 Mo 2.92, 4 Hg 3.02, 4 Zr 3.13

## Properties
total magnetization = 0.00 μB/cell
energy of formation from the pure elements = 0.234 eV/atom
crystal system = tetragonal
calculated total energy = -6.823 eV/atom
SG = P4mm
density = 9801 kg/m³

# 3
Entry from Alexandria via LeMat-Bulk: crystalline ZrHgMo at its relaxed geometry (GGA-PBE).

Cell: 7.3707 7.2128 2.9547 Å, 81.33 75.33 23.35°
Closest atoms and distances in Å follow each position.
Element x y z (fractional)
Hg (0.9951, 0.9951, 0.0049)  2 Mo 2.93, 4 Hg 2.95, 2 Zr 3.09
Mo (0.3295, 0.3295, 0.6705)  2 Zr 2.80, 2 Hg 2.93, 4 Mo 2.95
Zr (0.6754, 0.6754, 0.3246)  2 Mo 2.80, 4 Zr 2.95, 2 Hg 3.09

## Properties
total magnetization = 0.00 μB/cell
E above lowest polymorph = 0.0 meV per atom
energy of formation from the pure elements = 0.205 eV/atom
crystal system = orthorhombic
calculated total energy = -6.356 eV/atom
SG = Fmm2
density = 10944 kg/m³

# 4
Entry from Alexandria via LeMat-Bulk: crystalline ZrHg2Mo at its relaxed geometry (GGA-PBE).

Cell: 3.6890 3.6890 5.8465 Å, 90.00 90.00 90.00°
Closest atoms and distances in Å follow each position.
Element x y z (fractional)
Hg (0.0000, 0.0000, 0.4914)  2 Hg 2.82-3.02, 4 Mo 2.97, 4 Zr 3.02
Hg (0.0000, 0.0000, 0.0086)  2 Hg 2.82-3.02, 4 Mo 2.97, 4 Zr 3.02
Mo (0.5000, 0.5000, 0.2500)  2 Zr 2.92, 8 Hg 2.97
Zr (0.5000, 0.5000, 0.7500)  2 Mo 2.92, 8 Hg 3.02

## Properties
total magnetization = 0.00 μB/cell
E above lowest polymorph = 144.5 meV per atom
energy of formation from the pure elements = 0.315 eV/atom
crystal system = tetragonal
calculated total energy = -4.681 eV/atom
SG = P4/mmm
density = 12279 kg/m³

# 5
Entry from Alexandria via LeMat-Bulk: crystalline ZrHg2Mo at its relaxed geometry (GGA-PBE).

Cell: 4.4298 2.9801 6.6204 Å, 63.39 90.00 90.00°
Closest atoms and distances in Å follow each position.
Element x y z (fractional)
Hg (0.0000, 0.5094, 0.4906)  4 Hg 2.85-3.07, 4 Mo 3.02-3.03, 4 Zr 3.08
Mo (0.5000, 0.2500, 0.2500)  2 Zr 2.96, 2 Mo 2.98, 8 Hg 3.02-3.03
Zr (0.5000, 0.7500, 0.7500)  2 Mo 2.96, 2 Zr 2.98, 8 Hg 3.08
Hg (0.0000, 0.9906, 0.0094)  4 Hg 2.85-3.07, 4 Mo 3.02-3.03, 4 Zr 3.08

## Properties
total magnetization = 0.00 μB/cell
E above lowest polymorph = 43.8 meV per atom
energy of formation from the pure elements = 0.214 eV/atom
crystal system = monoclinic
calculated total energy = -4.782 eV/atom
SG = P2/m
density = 12503 kg/m³

# 6
Entry from Alexandria via LeMat-Bulk: crystalline ZrHgMo at its relaxed geometry (GGA-PBE).

Cell: 4.6565 4.6565 4.6565 Å, 60.00 60.00 60.00°
Closest atoms and distances in Å follow each position.
Element x y z (fractional)
Mo (0.5000, 0.5000, 0.5000)  4 Zr 2.85
Zr (0.2500, 0.2500, 0.2500)  4 Hg 2.85, 4 Mo 2.85
Hg (0.0000, 0.0000, 0.0000)  4 Zr 2.85

## Properties
total magnetization = 1.89 μB/cell
E above lowest polymorph = 860.6 meV per atom
energy of formation from the pure elements = 1.065 eV/atom
crystal system = cubic
calculated total energy = -5.495 eV/atom
SG = F-43m
density = 9019 kg/m³

# 7
Entry from Alexandria via LeMat-Bulk: crystalline ZrHg2Mo at its relaxed geometry (GGA-PBE).

Cell: 10.5137 10.5137 10.5137 Å, 16.57 16.57 16.57°
Closest atoms and distances in Å follow each position.
Element x y z (fractional)
Mo (0.5009, 0.5009, 0.5009)  3 Hg 2.98, 6 Mo 3.03, 3 Zr 3.08
Zr (0.7528, 0.7528, 0.7528)  6 Zr 3.03, 3 Mo 3.08, 3 Hg 3.17
Hg (0.0012, 0.0012, 0.0012)  9 Hg 3.03-3.29, 3 Zr 3.17
Hg (0.2450, 0.2450, 0.2450)  3 Mo 2.98, 9 Hg 3.03-3.29

## Properties
total magnetization = 0.00 μB/cell
E above lowest polymorph = 182.6 meV per atom
energy of formation from the pure elements = 0.353 eV/atom
crystal system = trigonal
calculated total energy = -4.643 eV/atom
SG = R3m
density = 11852 kg/m³

# 8
Entry from Alexandria via LeMat-Bulk: crystalline Zr2HgMo at its relaxed geometry (GGA-PBE).

Cell: 3.0728 3.0728 9.1800 Å, 90.00 90.00 108.68°
Closest atoms and distances in Å follow each position.
Element x y z (fractional)
Mo (0.5000, 0.5000, 0.7500)  4 Zr 2.75, 4 Mo 3.07
Zr (0.0000, 0.0000, 0.5225)  2 Mo 2.75, 4 Zr 3.07, 2 Hg 3.08
Hg (0.5000, 0.5000, 0.2500)  4 Hg 3.07, 4 Zr 3.08
Zr (0.0000, 0.0000, 0.9775)  2 Mo 2.75, 4 Zr 3.07, 2 Hg 3.08

## Properties
total magnetization = 0.00 μB/cell
energy of formation from the pure elements = -0.033 eV/atom
crystal system = orthorhombic
calculated total energy = -7.090 eV/atom
SG = Cmmm
density = 9686 kg/m³